First-principles (GGA-PBE) data for an optimized crystal structure of SrGeAsSe2, as listed in Alexandria via LeMat-Bulk.

Structure (extended XYZ):
```
5
Lattice="5.198 0.000 0.000 0.000 5.198 0.000 0.000 0.000 4.905" Properties=species:S:1:pos:R:3 pbc="T T T"
Sr 0.000 0.000 0.000
Ge 2.599 2.599 2.452
As 2.599 2.599 0.000
Se 0.000 2.599 2.452
Se 2.599 0.000 2.452
```

Summary:
Distance to the lowest polymorph of the same formula ... 0 meV/atom
Magnetic moment ... 0.00 μB/cell



First-principles (GGA-PBE) data for an optimized crystal structure of Co3Te, as listed in Alexandria via LeMat-Bulk.

Structure (extended XYZ):
```
16
Lattice="3.716 0.000 0.000 0.000 3.716 0.000 0.000 0.000 14.797" Properties=species:S:1:pos:R:3 pbc="T T T"
Co 0.000 0.000 1.841
Co 0.000 0.000 12.956
Co 0.000 1.858 0.000
Co 0.000 1.858 3.699
Co 0.000 1.858 7.398
Co 0.000 1.858 11.098
Co 1.858 0.000 0.000
Co 1.858 0.000 3.699
Co 1.858 0.000 7.398
Co 1.858 0.000 11.098
Co 1.858 1.858 5.557
Co 1.858 1.858 9.240
Te 0.000 0.000 5.538
Te 0.000 0.000 9.259
Te 1.858 1.858 1.860
Te 1.858 1.858 12.937
```

Summary:
Final energy ... -94.32 eV for the cell shown
Magnetic moment ... 8.87 μB/cell



First-principles (GGA-PBE) data for an optimized crystal structure of ErSi2Rh2, as listed in Alexandria via LeMat-Bulk.

Structure (extended XYZ):
```
10
Lattice="4.050 0.000 0.000 0.000 4.050 0.000 0.000 0.000 9.945" Properties=species:S:1:pos:R:3 pbc="T T T"
Er 0.000 0.000 0.000
Er 2.025 2.025 4.972
Si 0.000 0.000 3.772
Si 0.000 0.000 6.172
Si 2.025 2.025 1.200
Si 2.025 2.025 8.745
Rh 0.000 2.025 2.486
Rh 0.000 2.025 7.458
Rh 2.025 0.000 2.486
Rh 2.025 0.000 7.458
```

Summary:
Distance to the lowest polymorph of the same formula ... 0 meV/atom
Magnetic moment ... 0.00 μB/cell



First-principles (GGA-PBE) data for an optimized crystal structure of CuRh2W, as listed in Alexandria via LeMat-Bulk.

Structure (extended XYZ):
```
12
Lattice="2.780 0.000 0.000 -1.390 2.408 0.000 0.000 0.000 25.926" Properties=species:S:1:pos:R:3 pbc="T T T"
Cu 0.000 0.000 0.000
Cu 0.000 1.605 17.284
Cu 1.390 0.803 8.642
Rh 0.000 0.000 6.476
Rh 0.000 0.000 19.450
Rh 0.000 1.605 10.808
Rh 0.000 1.605 23.760
Rh 1.390 0.803 2.166
Rh 1.390 0.803 15.118
W 0.000 0.000 12.963
W 0.000 1.605 4.321
W 1.390 0.803 21.605
```

Summary:
Formation enthalpy at 0 K ... -0.039 eV per atom
Distance to the lowest polymorph of the same formula ... 110 meV/atom
Magnetic moment ... 0.00 μB/cell



First-principles (GGA-PBE) data for an optimized crystal structure of SmAl4Tl, as listed in Alexandria via LeMat-Bulk.

Structure (extended XYZ):
```
6
Lattice="0.000 4.002 4.002 4.002 0.000 4.002 4.002 4.002 0.000" Properties=species:S:1:pos:R:3 pbc="T T T"
Sm 0.000 0.000 0.000
Al 2.998 2.998 2.998
Al 5.006 5.006 2.998
Al 5.006 2.998 5.006
Al 2.998 5.006 5.006
Tl 6.003 6.003 6.003
```

Summary:
Formation enthalpy at 0 K ... -0.134 eV per atom
Magnetic moment ... 0.00 μB/cell



First-principles (GGA-PBE) data for an optimized crystal structure of VCdFeB2, as listed in Alexandria via LeMat-Bulk.

Structure (extended XYZ):
```
5
Lattice="4.106 0.000 0.000 0.000 4.106 0.000 0.000 0.000 5.007" Properties=species:S:1:pos:R:3 pbc="T T T"
V 0.000 0.000 0.000
Cd 0.000 0.000 2.504
Fe 2.053 2.053 0.000
B 0.000 2.053 2.504
B 2.053 0.000 2.504
```

Summary:
Formation enthalpy at 0 K ... 2.362 eV per atom
Magnetic moment ... 3.85 μB/cell



First-principles (GGA-PBE) data for an optimized crystal structure of YH3F, as listed in Alexandria via LeMat-Bulk.

Structure (extended XYZ):
```
5
Lattice="4.054 0.000 0.000 0.000 4.054 0.000 0.000 0.000 4.054" Properties=species:S:1:pos:R:3 pbc="T T T"
Y 0.000 0.000 0.000
H 0.000 0.000 2.027
H 0.000 2.027 0.000
H 2.027 0.000 0.000
F 2.027 2.027 2.027
```

Summary:
Distance to the lowest polymorph of the same formula ... 0 meV/atom
Magnetic moment ... 0.91 μB/cell



First-principles (GGA-PBE) data for an optimized crystal structure of Ba6Au5Br, as listed in Alexandria via LeMat-Bulk.

Structure (extended XYZ):
```
12
Lattice="4.142 -7.170 0.000 4.142 7.170 0.000 -2.763 0.000 7.815" Properties=species:S:1:pos:R:3 pbc="T T T"
Ba -0.049 2.471 5.801
Ba 1.287 0.000 1.990
Ba -0.049 -2.471 5.801
Ba 5.571 2.471 2.014
Ba 4.235 0.000 5.825
Ba 5.571 -2.471 2.014
Au -1.381 0.000 3.908
Au 4.142 4.774 0.000
Au 2.761 2.315 3.908
Au 2.761 -2.315 3.908
Au 4.142 -4.774 0.000
Br 4.142 0.000 0.000
```

Summary:
Final energy ... -40.00 eV for the cell shown
Magnetic moment ... 0.00 μB/cell



First-principles (GGA-PBE) data for an optimized crystal structure of Y2ReH2, as listed in Alexandria via LeMat-Bulk.

Structure (extended XYZ):
```
10
Lattice="7.413 0.000 0.000 0.000 7.413 0.000 0.000 0.000 2.879" Properties=species:S:1:pos:R:3 pbc="T T T"
Y 1.182 2.524 0.000
Y 2.524 6.231 0.000
Y 4.889 1.182 0.000
Y 6.231 4.889 0.000
Re 0.000 0.000 0.000
Re 3.706 3.706 0.000
H 0.780 4.487 1.440
H 2.926 0.780 1.440
H 4.487 6.633 1.440
H 6.633 2.926 1.440
```

Summary:
Distance to the lowest polymorph of the same formula ... 608 meV/atom
Magnetic moment ... 0.00 μB/cell



First-principles (GGA-PBE) data for an optimized crystal structure of AuCl3O, as listed in Alexandria via LeMat-Bulk.

Structure (extended XYZ):
```
5
Lattice="4.528 0.000 0.000 0.000 4.528 0.000 0.000 0.000 4.528" Properties=species:S:1:pos:R:3 pbc="T T T"
Au 0.000 0.000 0.000
Cl 0.000 2.264 2.264
Cl 2.264 0.000 2.264
Cl 2.264 2.264 0.000
O 2.264 2.264 2.264
```

Summary:
Distance to the lowest polymorph of the same formula ... 930 meV/atom
Magnetic moment ... 0.00 μB/cell



First-principles (GGA-PBE) data for an optimized crystal structure of TmPaAg2O8, as listed in Alexandria via LeMat-Bulk.

Structure (extended XYZ):
```
12
Lattice="-3.631 3.631 3.439 3.631 -3.631 3.439 3.631 3.631 -3.439" Properties=species:S:1:pos:R:3 pbc="T T T"
Tm 0.000 0.000 0.000
Pa 3.631 0.000 1.720
Ag 0.000 0.000 3.439
Ag 0.000 3.631 1.720
O 2.283 3.631 -1.599
O 1.348 0.000 1.840
O 0.000 2.310 0.113
O 3.631 2.283 1.599
O 0.000 4.952 0.113
O 0.000 1.348 5.038
O -1.321 3.631 3.327
O 1.321 3.631 3.327
```

Summary:
Final energy ... -77.18 eV for the cell shown
Magnetic moment ... 0.00 μB/cell



First-principles (GGA-PBE) data for an optimized crystal structure of Nd2TmPb, as listed in Alexandria via LeMat-Bulk.

Structure (extended XYZ):
```
4
Lattice="4.910 0.000 0.000 0.000 4.910 0.000 0.000 0.000 4.995" Properties=species:S:1:pos:R:3 pbc="T T T"
Nd 0.000 2.455 0.000
Nd 2.455 0.000 0.000
Tm 0.000 0.000 2.497
Pb 2.455 2.455 2.497
```

Summary:
Formation enthalpy at 0 K ... -0.302 eV per atom
Distance to the lowest polymorph of the same formula ... 0 meV/atom
Magnetic moment ... 0.00 μB/cell



First-principles (GGA-PBE) data for an optimized crystal structure of Pa2Ga6Au, as listed in Alexandria via LeMat-Bulk.

Structure (extended XYZ):
```
9
Lattice="4.761 0.000 0.000 0.000 4.761 0.000 0.000 0.000 8.299" Properties=species:S:1:pos:R:3 pbc="T T T"
Pa 0.000 0.000 2.011
Pa 0.000 0.000 6.288
Ga 0.000 2.381 0.000
Ga 0.000 2.381 4.150
Ga 2.381 0.000 0.000
Ga 2.381 0.000 4.150
Ga 2.381 2.381 1.525
Ga 2.381 2.381 6.774
Au 2.381 2.381 4.150
```

Summary:
Formation enthalpy at 0 K ... -0.054 eV per atom
Magnetic moment ... 1.50 μB/cell



First-principles (GGA-PBE) data for an optimized crystal structure of Sr2Ga2Pt, as listed in Alexandria via LeMat-Bulk.

Structure (extended XYZ):
```
10
Lattice="7.112 0.000 0.000 0.000 7.112 0.000 0.000 0.000 4.903" Properties=species:S:1:pos:R:3 pbc="T T T"
Sr 1.309 2.247 0.000
Sr 2.247 5.803 0.000
Sr 4.866 1.309 0.000
Sr 5.803 4.866 0.000
Ga 0.916 4.472 2.451
Ga 2.641 0.916 2.451
Ga 4.472 6.197 2.451
Ga 6.197 2.641 2.451
Pt 0.000 0.000 2.451
Pt 3.556 3.556 2.451
```

Summary:
Formation enthalpy at 0 K ... -0.471 eV per atom
Distance to the lowest polymorph of the same formula ... 177 meV/atom
Magnetic moment ... 0.00 μB/cell



First-principles (GGA-PBE) data for an optimized crystal structure of AcMgPb2, as listed in Alexandria via LeMat-Bulk.

Structure (extended XYZ):
```
16
Lattice="4.850 0.000 0.000 0.000 16.748 0.000 0.000 0.000 6.872" Properties=species:S:1:pos:R:3 pbc="T T T"
Ac 0.000 3.010 1.718
Ac 0.000 13.738 5.154
Ac 2.425 5.364 5.154
Ac 2.425 11.384 1.718
Mg 0.000 7.127 1.718
Mg 0.000 9.621 5.154
Mg 2.425 1.247 5.154
Mg 2.425 15.502 1.718
Pb 0.000 0.000 0.000
Pb 0.000 0.000 3.436
Pb 0.000 3.039 5.154
Pb 0.000 13.710 1.718
Pb 2.425 5.335 1.718
Pb 2.425 8.374 0.000
Pb 2.425 8.374 3.436
Pb 2.425 11.413 5.154
```

Summary:
Formation enthalpy at 0 K ... -0.198 eV per atom
Magnetic moment ... 0.00 μB/cell



First-principles (GGA-PBE) data for an optimized crystal structure of KBa2ZnCd, as listed in Alexandria via LeMat-Bulk.

Structure (extended XYZ):
```
5
Lattice="6.615 0.000 0.000 0.000 6.615 0.000 0.000 0.000 5.261" Properties=species:S:1:pos:R:3 pbc="T T T"
K 0.000 0.000 0.000
Ba 0.000 3.308 2.631
Ba 3.308 0.000 2.631
Zn 3.308 3.308 2.631
Cd 3.308 3.308 0.000
```

Summary:
Formation enthalpy at 0 K ... 0.008 eV per atom
Magnetic moment ... 0.00 μB/cell



First-principles (GGA-PBE) data for an optimized crystal structure of AcGePt2Au2, as listed in Alexandria via LeMat-Bulk.

Structure (extended XYZ):
```
12
Lattice="5.313 0.000 0.000 0.000 5.313 0.000 0.000 0.000 10.592" Properties=species:S:1:pos:R:3 pbc="T T T"
Ac 0.000 0.000 0.000
Ac 2.657 2.657 5.296
Ge 0.000 0.000 5.296
Ge 2.657 2.657 0.000
Pt 0.000 0.000 2.969
Pt 0.000 0.000 7.624
Pt 2.657 2.657 2.327
Pt 2.657 2.657 8.265
Au 0.000 2.657 2.648
Au 0.000 2.657 7.944
Au 2.657 0.000 2.648
Au 2.657 0.000 7.944
```

Summary:
Formation enthalpy at 0 K ... -0.256 eV per atom
Magnetic moment ... 0.00 μB/cell



First-principles (GGA-PBE) data for an optimized crystal structure of NaPaCoS3, as listed in Alexandria via LeMat-Bulk.

Structure (extended XYZ):
```
12
Lattice="1.885 -6.616 0.000 1.885 6.616 0.000 0.000 0.000 10.046" Properties=species:S:1:pos:R:3 pbc="T T T"
Na 1.885 3.320 7.535
Na 1.885 -3.320 2.512
Pa 1.885 0.000 0.000
Pa 1.885 0.000 5.023
Co 1.885 6.302 2.512
Co 1.885 -6.302 7.535
S 1.885 4.847 0.771
S 1.885 4.847 4.252
S 1.885 1.023 2.512
S 1.885 -1.023 7.535
S 1.885 -4.847 5.794
S 1.885 -4.847 9.276
```

Summary:
Final energy ... -75.56 eV for the cell shown
Magnetic moment ... 2.01 μB/cell



First-principles (GGA-PBE) data for an optimized crystal structure of LaNiGe2Rh2, as listed in Alexandria via LeMat-Bulk.

Structure (extended XYZ):
```
6
Lattice="4.475 0.000 0.000 0.000 4.475 0.000 0.000 0.000 5.540" Properties=species:S:1:pos:R:3 pbc="T T T"
La 0.000 0.000 0.000
Ni 0.000 0.000 2.770
Ge 0.000 2.238 2.770
Ge 2.238 0.000 2.770
Rh 2.238 2.238 1.357
Rh 2.238 2.238 4.183
```

Summary:
Formation enthalpy at 0 K ... -0.389 eV per atom
Magnetic moment ... 0.00 μB/cell



First-principles (GGA-PBE) data for an optimized crystal structure of KPdRuS2, as listed in Alexandria via LeMat-Bulk.

Structure (extended XYZ):
```
5
Lattice="5.360 0.000 0.000 0.000 5.360 0.000 0.000 0.000 4.890" Properties=species:S:1:pos:R:3 pbc="T T T"
K 0.000 0.000 0.000
Pd 2.680 2.680 2.445
Ru 0.000 0.000 2.445
S 0.000 2.680 0.000
S 2.680 0.000 0.000
```

Summary:
Final energy ... -13.70 eV for the cell shown
Magnetic moment ... 5.01 μB/cell